No. 1
## Ca2YTlH (GGA-PBE)

Data for a relaxed Ca2YTlH crystal.

Cell lengths 4.917, 4.917, 4.993 Å; angles 90.00, 90.00, 90.00 degrees
Sites, in units of the cell vectors:
Y 0.000 0.000 0.500
Ca 0.500 0.000 0.000
Ca 0.000 0.500 0.000
H 0.000 0.000 0.000
Tl 0.500 0.500 0.500

Results
E (eV/atom): -3.51

---

No. 2
## CaY2TlH (GGA-PBE)

Data for a relaxed CaY2TlH crystal.

Cell lengths 4.871, 4.871, 4.957 Å; angles 90.00, 90.00, 90.00 degrees
Sites, in units of the cell vectors:
H 0.000 0.000 0.000
Y 0.000 0.500 0.000
Y 0.500 0.000 0.000
Ca 0.000 0.000 0.500
Tl 0.500 0.500 0.500

Results
E (eV/atom): -4.40